[1]
A crystal of Cd8Ag5 relaxed with PBEsol. Source: the Alexandria database, functional meta-GGA SCAN.

Output
Symmetry: I-43m, No. 217
Formation energy: -0.069 eV per atom
Calculated volume: 18.6 Å³/atom

abc: 8.5631 8.5631 8.5631
angles: 109.47 109.47 109.47
Last column: nearest neighbours and their distance in Å.
Fractional positions:
Ag 0.6547 0.6547 0.6547  9 Cd 2.84-2.93, 3 Ag 3.02
Ag 0.0000 0.3453 0.0000  9 Cd 2.84-2.93, 3 Ag 3.02
Ag 0.3453 0.0000 0.0000  9 Cd 2.84-2.93, 3 Ag 3.02
Ag 0.0000 0.0000 0.3453  9 Cd 2.84-2.93, 3 Ag 3.02
Ag 0.3569 0.3569 0.0000  10 Cd 2.82-3.15, 3 Ag 2.83-3.02
Ag 0.6431 0.6431 0.0000  10 Cd 2.82-3.15, 3 Ag 2.83-3.02
Ag 0.0000 0.3569 0.3569  10 Cd 2.82-3.15, 3 Ag 2.83-3.02
Ag 0.0000 0.6431 0.6431  10 Cd 2.82-3.15, 3 Ag 2.83-3.02
Ag 0.3569 0.0000 0.3569  10 Cd 2.82-3.15, 3 Ag 2.83-3.02
Ag 0.6431 0.0000 0.6431  10 Cd 2.82-3.15, 3 Ag 2.83-3.02
Cd 0.2197 0.2197 0.2197  6 Ag 2.89-2.93, 6 Cd 2.95-3.07
Cd 0.0000 0.7803 0.0000  6 Ag 2.89-2.93, 6 Cd 2.95-3.07
Cd 0.7803 0.0000 0.0000  6 Ag 2.89-2.93, 6 Cd 2.95-3.07
Cd 0.0000 0.0000 0.7803  6 Ag 2.89-2.93, 6 Cd 2.95-3.07
Cd 0.3482 0.6277 0.3482  6 Ag 2.82-3.15, 5 Cd 2.93-2.95
Cd 0.7205 0.3723 0.7205  6 Ag 2.82-3.15, 5 Cd 2.93-2.95
Cd 0.6518 0.0000 0.2795  6 Ag 2.82-3.15, 5 Cd 2.93-2.95
Cd 0.2795 0.0000 0.6518  6 Ag 2.82-3.15, 5 Cd 2.93-2.95
Cd 0.3482 0.3482 0.6277  6 Ag 2.82-3.15, 5 Cd 2.93-2.95
Cd 0.7205 0.7205 0.3723  6 Ag 2.82-3.15, 5 Cd 2.93-2.95
Cd 0.2795 0.6518 0.0000  6 Ag 2.82-3.15, 5 Cd 2.93-2.95
Cd 0.6518 0.2795 0.0000  6 Ag 2.82-3.15, 5 Cd 2.93-2.95
Cd 0.6277 0.3482 0.3482  6 Ag 2.82-3.15, 5 Cd 2.93-2.95
Cd 0.3723 0.7205 0.7205  6 Ag 2.82-3.15, 5 Cd 2.93-2.95
Cd 0.0000 0.2795 0.6518  6 Ag 2.82-3.15, 5 Cd 2.93-2.95
Cd 0.0000 0.6518 0.2795  6 Ag 2.82-3.15, 5 Cd 2.93-2.95

=====

[2]
A crystal of Mg2TlCu relaxed with PBEsol. Source: the Alexandria database, functional meta-GGA SCAN.

Output
Symmetry: Amm2, No. 38
Formation energy: -0.054 eV per atom
Calculated volume: 19.4 Å³/atom

abc: 3.2958 4.3724 5.6341
angles: 90.00 107.01 90.00
Last column: nearest neighbours and their distance in Å.
Fractional positions:
Cu 0.5473 0.5000 0.0947  5 Mg 2.68-2.87, 2 Tl 2.70
Mg 0.9662 0.0000 0.9325  4 Cu 2.87, 3 Tl 2.94-2.95
Mg 0.2986 0.5000 0.5972  1 Cu 2.68, 4 Tl 2.96
Tl 0.6938 0.0000 0.3877  2 Cu 2.70, 7 Mg 2.94-2.96

=====

[3]
A crystal of KCaIr2 relaxed with PBEsol. Source: the Alexandria database, functional meta-GGA SCAN.

Output
Symmetry: P4/mmm, No. 123
Formation energy: 0.592 eV per atom
E above lowest polymorph: 0.87 eV per formula unit
Calculated volume: 18.7 Å³/atom

abc: 3.9833 3.9833 4.7097
angles: 90.00 90.00 90.00
Last column: nearest neighbours and their distance in Å.
Fractional positions:
Ca 0.0000 0.0000 0.5000  4 K 2.82, 8 Ir 3.08
Ir 0.0000 0.5000 0.0000  4 Ir 2.82, 4 K 3.08, 4 Ca 3.08
Ir 0.5000 0.0000 0.0000  4 Ir 2.82, 4 K 3.08, 4 Ca 3.08
K 0.5000 0.5000 0.5000  4 Ca 2.82, 8 Ir 3.08

=====

[4]
A crystal of SrMo2W relaxed with PBEsol. Source: the Alexandria database, functional meta-GGA SCAN.

Output
Symmetry: Pm, No. 6
Formation energy: 0.803 eV per atom
E above lowest polymorph: 0.00 eV per formula unit
Calculated volume: 21.0 Å³/atom

abc: 2.9104 4.2043 7.0165
angles: 90.00 102.43 90.00
Last column: nearest neighbours and their distance in Å.
Fractional positions:
Mo 0.0138 0.0000 0.0006  2 Mo 2.58, 2 W 2.60
Mo 0.4369 0.5000 0.1630  1 W 2.41, 2 Mo 2.58
Sr 0.9759 0.0000 0.4999  2 Sr 2.91
W 0.5734 0.5000 0.8365  3 Mo 2.41-2.60

=====

[5]
A crystal of TlH3Rh relaxed with PBEsol. Source: the Alexandria database, functional meta-GGA SCAN.

Output
VASP energy: -22.0984 eV/atom
Symmetry: Pm-3m, No. 221
Calculated volume: 10.8 Å³/atom

abc: 3.7826 3.7826 3.7826
angles: 90.00 90.00 90.00
Last column: nearest neighbours and their distance in Å.
Fractional positions:
H 0.0000 0.5000 0.0000  2 Tl 1.89
H 0.0000 0.0000 0.5000  2 Tl 1.89
H 0.5000 0.0000 0.0000  2 Tl 1.89
Tl 0.0000 0.0000 0.0000  6 H 1.89
Rh 0.5000 0.5000 0.5000  12 H 2.67

=====

[6]
A crystal of Zn2TeOs relaxed with PBEsol. Source: the Alexandria database, functional meta-GGA SCAN.

Output
Formation energy (no corrections): 0.486 eV/atom
Symmetry: I4/mmm, No. 139
Calculated volume: 16.0 Å³/atom

abc: 3.8891 3.8891 5.0537
angles: 112.63 112.63 90.00
Last column: nearest neighbours and their distance in Å.
Fractional positions:
Os 0.5000 0.5000 0.0000  4 Te 2.75, 8 Zn 2.88
Te 0.0000 0.0000 0.0000  4 Os 2.75, 8 Zn 2.88
Zn 0.7500 0.2500 0.5000  4 Zn 2.75, 4 Te 2.88, 4 Os 2.88
Zn 0.2500 0.7500 0.5000  4 Zn 2.75, 4 Te 2.88, 4 Os 2.88

=====

Question: calculated volume of number 6 (Zn2TeOs)?
Answer: 16.0 Å³/atom